Record 1
VASP calculation (PBE) on a relaxed Gd2YSn4Pb3 crystal.

Calculated values
total energy: -47.5 eV per cell
density: 9.19 g/cm³

extended XYZ file:
```
10
Lattice="2.244 -13.399 0.000 2.244 13.399 0.000 0.000 0.000 4.508" Properties=species:S:1:pos:R:3 pbc="T T T"
Gd 2.244 8.372 0.000
Gd 2.244 -8.372 0.000
Y 2.244 0.000 2.254
Sn 2.244 10.807 2.254
Sn 2.244 2.582 0.000
Sn 2.244 -2.582 0.000
Sn 2.244 -10.807 2.254
Pb 0.000 0.000 0.000
Pb 2.244 5.608 2.254
Pb 2.244 -5.608 2.254
```

***

Record 2
VASP calculation (PBE) on a relaxed Ta2BeTl crystal.

Calculated values
total energy: -106.4 eV per cell
density: 13.43 g/cm³

extended XYZ file:
```
16
Lattice="6.577 0.000 0.000 0.000 6.577 0.000 0.000 0.000 6.577" Properties=species:S:1:pos:R:3 pbc="T T T"
Ta 0.000 0.000 0.000
Ta 0.000 3.289 3.289
Ta 1.644 1.644 1.644
Ta 1.644 4.933 4.933
Ta 3.289 0.000 3.289
Ta 3.289 3.289 0.000
Ta 4.933 1.644 4.933
Ta 4.933 4.933 1.644
Be 1.644 1.644 4.933
Be 1.644 4.933 1.644
Be 4.933 1.644 1.644
Be 4.933 4.933 4.933
Tl 0.000 0.000 3.289
Tl 0.000 3.289 0.000
Tl 3.289 0.000 0.000
Tl 3.289 3.289 3.289
```

***

Record 3
VASP calculation (PBE) on a relaxed ZnW crystal.

Calculated values
density: 13.63 g/cm³
calculated formation energy: 0.25 eV/atom

extended XYZ file:
```
8
Lattice="4.436 0.000 0.000 0.000 6.178 0.000 0.000 0.000 4.432" Properties=species:S:1:pos:R:3 pbc="T T T"
Zn 0.000 0.000 0.000
Zn 0.000 1.492 2.227
Zn 0.000 4.687 2.227
Zn 2.218 0.000 2.289
W 0.000 3.089 0.031
W 2.218 1.550 0.068
W 2.218 3.089 2.273
W 2.218 4.628 0.068
```

***

Record 4
VASP calculation (PBE) on a relaxed CuAgHgGeSe4 crystal.

Calculated values
total energy: -54.5 eV per cell
density: 6.12 g/cm³

extended XYZ file:
```
16
Lattice="6.006 0.000 0.000 0.000 6.006 0.000 0.000 0.000 11.432" Properties=species:S:1:pos:R:3 pbc="T T T"
Cu 0.000 0.000 0.000
Cu 3.003 3.003 5.716
Ag 0.000 0.000 5.716
Ag 3.003 3.003 0.000
Hg 0.000 3.003 2.858
Hg 3.003 0.000 8.574
Ge 0.000 3.003 8.574
Ge 3.003 0.000 2.858
Se 1.275 4.467 10.060
Se 1.464 1.728 7.088
Se 1.539 1.275 1.372
Se 1.728 4.542 4.344
Se 4.278 1.464 4.344
Se 4.467 4.731 1.372
Se 4.542 4.278 7.088
Se 4.731 1.539 10.060
```

***

Record 5
VASP calculation (PBE) on a relaxed LaZrPa crystal.

Calculated values
density: 8.20 g/cm³
calculated formation energy: 1.04 eV/atom

extended XYZ file:
```
12
Lattice="7.202 0.000 0.000 0.000 7.202 0.000 0.000 0.000 7.202" Properties=species:S:1:pos:R:3 pbc="T T T"
La 0.000 0.000 0.000
La 0.000 3.601 3.601
La 3.601 0.000 3.601
La 3.601 3.601 0.000
Zr 0.000 0.000 3.601
Zr 0.000 3.601 0.000
Zr 3.601 0.000 0.000
Zr 3.601 3.601 3.601
Pa 1.800 1.800 1.800
Pa 1.800 5.401 5.401
Pa 5.401 1.800 5.401
Pa 5.401 5.401 1.800
```

***

Record 6
VASP calculation (PBE) on a relaxed MgPaZn crystal.

Calculated values
total energy: -37.4 eV per cell
density: 6.58 g/cm³

extended XYZ file:
```
12
Lattice="6.868 0.000 0.000 0.000 6.868 0.000 0.000 0.000 6.868" Properties=species:S:1:pos:R:3 pbc="T T T"
Mg 0.000 0.000 0.000
Mg 0.000 3.434 3.434
Mg 3.434 0.000 3.434
Mg 3.434 3.434 0.000
Pa 1.717 1.717 1.717
Pa 1.717 5.151 5.151
Pa 5.151 1.717 5.151
Pa 5.151 5.151 1.717
Zn 0.000 0.000 3.434
Zn 0.000 3.434 0.000
Zn 3.434 0.000 0.000
Zn 3.434 3.434 3.434
```

***

Record 7
VASP calculation (PBE) on a relaxed NaHoHgSe3 crystal.

Calculated values
total energy: -91.8 eV per cell
density: 6.85 g/cm³

extended XYZ file:
```
24
Lattice="8.257 0.000 0.000 0.000 4.223 0.000 0.000 0.000 17.386" Properties=species:S:1:pos:R:3 pbc="T T T"
Na 0.642 1.056 3.351
Na 3.487 3.167 12.045
Na 4.770 1.056 5.342
Na 7.615 3.167 14.035
Ho 1.842 1.056 16.746
Ho 2.286 3.167 8.053
Ho 5.970 1.056 9.334
Ho 6.415 3.167 0.641
Hg 0.424 1.056 11.591
Hg 3.705 3.167 2.897
Hg 4.552 1.056 14.489
Hg 7.833 3.167 5.796
Se 0.086 1.056 7.442
Se 1.025 3.167 1.075
Se 1.755 1.056 13.822
Se 2.373 3.167 5.129
Se 3.103 1.056 9.769
Se 4.042 3.167 16.135
Se 4.214 1.056 1.251
Se 5.153 3.167 7.618
Se 5.884 1.056 12.257
Se 6.501 3.167 3.564
Se 7.232 1.056 16.311
Se 8.171 3.167 9.945
```

***

Record 8
VASP calculation (PBE) on a relaxed TbUHg crystal.

Calculated values
density: 10.99 g/cm³
calculated formation energy: 0.89 eV/atom

extended XYZ file:
```
12
Lattice="7.122 0.000 0.000 0.000 7.122 0.000 0.000 0.000 7.122" Properties=species:S:1:pos:R:3 pbc="T T T"
Tb 0.000 0.000 0.000
Tb 0.000 3.561 3.561
Tb 3.561 0.000 3.561
Tb 3.561 3.561 0.000
U 1.781 1.781 5.342
U 1.781 5.342 1.781
U 5.342 1.781 1.781
U 5.342 5.342 5.342
Hg 0.000 0.000 3.561
Hg 0.000 3.561 0.000
Hg 3.561 0.000 0.000
Hg 3.561 3.561 3.561
```

***

Record 9
VASP calculation (PBE) on a relaxed HgBiAsO crystal.

Calculated values
total energy: -29.8 eV per cell
density: 8.78 g/cm³

extended XYZ file:
```
8
Lattice="4.031 0.000 0.000 0.000 6.604 0.000 0.000 0.000 7.110" Properties=species:S:1:pos:R:3 pbc="T T T"
Hg 0.000 0.621 0.000
Hg 0.000 5.983 3.555
Bi 2.016 2.889 4.130
Bi 2.016 3.715 0.575
As 0.000 1.740 2.509
As 0.000 4.864 6.064
O 2.016 1.877 6.457
O 2.016 4.727 2.903
```

***

Record 10
VASP calculation (PBE) on a relaxed GdB4As crystal.

Calculated values
total energy: -72.5 eV per cell
density: 6.64 g/cm³

extended XYZ file:
```
12
Lattice="3.183 0.000 0.000 0.000 5.004 0.000 0.000 0.000 8.655" Properties=species:S:1:pos:R:3 pbc="T T T"
Gd 0.000 0.000 0.000
Gd 1.591 2.502 4.328
B 0.000 1.577 2.336
B 0.000 1.577 6.319
B 0.000 3.427 2.336
B 0.000 3.427 6.319
B 1.591 0.925 1.992
B 1.591 0.925 6.664
B 1.591 4.079 1.992
B 1.591 4.079 6.664
As 0.000 0.000 4.328
As 1.591 2.502 0.000
```

***

Record 11
VASP calculation (PBE) on a relaxed Dy3Re3W2N12 crystal.

Calculated values
total energy: -755.4 eV per cell
density: 10.27 g/cm³

extended XYZ file:
```
80
Lattice="-6.347 6.347 6.347 6.347 -6.347 6.347 6.347 6.347 -6.347" Properties=species:S:1:pos:R:3 pbc="T T T"
Dy 3.174 1.587 0.000
Dy 6.347 3.174 -1.587
Dy 1.587 0.000 3.174
Dy 7.934 0.000 3.174
Dy 0.000 3.174 1.587
Dy 3.174 -1.587 6.347
Dy 3.174 7.934 0.000
Dy 6.347 3.174 4.760
Dy -1.587 6.347 3.174
Dy 4.760 6.347 3.174
Dy 0.000 3.174 7.934
Dy 3.174 4.760 6.347
Re 9.521 1.587 0.000
Re 6.347 -3.174 4.760
Re 4.760 6.347 -3.174
Re 4.760 0.000 3.174
Re 3.174 4.760 0.000
Re 6.347 3.174 1.587
Re 0.000 3.174 4.760
Re 3.174 1.587 6.347
Re 1.587 6.347 3.174
Re 1.587 0.000 9.521
Re 0.000 9.521 1.587
Re -3.174 4.760 6.347
W 0.000 0.000 0.000
W 3.174 3.174 -3.174
W 3.174 -3.174 3.174
W 6.347 0.000 0.000
W -3.174 3.174 3.174
W 0.000 6.347 0.000
W 0.000 0.000 6.347
W 3.174 3.174 3.174
N 1.896 -0.407 0.657
N 7.625 3.831 -3.581
N 8.243 0.407 0.657
N 7.625 -2.516 3.581
N 5.940 -0.657 1.896
N 9.928 -1.278 2.516
N 0.657 1.896 -0.407
N 8.864 2.767 -1.278
N 3.831 3.581 -1.278
N 5.690 1.896 0.407
N -0.407 0.657 1.896
N 3.581 -1.278 3.831
N 5.940 5.690 -1.896
N 3.581 1.278 2.516
N 3.831 -3.581 7.625
N 5.690 -1.896 5.940
N 2.516 3.581 1.278
N 7.005 4.452 0.407
N 3.581 7.625 -2.516
N 5.940 0.657 4.452
N 1.896 5.940 -0.657
N 7.625 2.516 2.767
N 1.278 2.516 3.581
N 1.896 0.407 5.690
N 4.452 5.940 0.657
N 5.069 3.831 2.767
N -1.278 3.831 3.581
N 4.452 0.407 7.005
N 0.407 5.690 1.896
N 2.767 -1.278 8.864
N -0.657 1.896 5.940
N 3.831 2.767 5.069
N 0.657 8.243 0.407
N 2.516 9.928 -1.278
N 2.767 5.069 3.831
N 0.407 0.657 8.243
N 2.767 7.625 2.516
N 6.754 5.690 4.452
N 0.657 4.452 5.940
N 2.516 2.767 7.625
N -2.516 3.581 7.625
N 5.690 4.452 6.754
N -3.581 7.625 3.831
N 0.407 7.005 4.452
N -1.278 8.864 2.767
N -1.896 5.940 5.690
N -1.278 2.516 9.928
N 4.452 6.754 5.690
```